## NaV2Ni (PBE)

Data for an optimized crystal structure of NaV2Ni.

Properties
The value obtained for the energy above the most stable polymorph in this dataset is 0.00 eV/f.u. The total magnetization comes out at 3.1 μB/f.u. Its formation energy is 0.8692 eV/atom. The calculation puts the density of states at the Fermi level at 1.10 states/eV per atom. As for the space-group type: Fm-3m.

Lattice parameters (Å, degrees): 4.3409 4.3409 4.3409 60.00 60.00 60.00
Last column: nearest neighbours and their distance in Å.
Fractional positions:
Ni 0.5000 0.5000 0.5000  8 V 2.66
V 0.7500 0.7500 0.7500  4 Na 2.66, 4 Ni 2.66
V 0.2500 0.2500 0.2500  4 Ni 2.66, 4 Na 2.66
Na 0.0000 0.0000 0.0000  8 V 2.66

---

## NaVNi (PBE)

Data for an optimized crystal structure of NaVNi.

Properties
The value obtained for the energy above the most stable polymorph in this dataset is 0.48 eV/f.u. The total magnetization comes out at 0.0 μB/f.u. Its formation energy is 0.2576 eV/atom. The calculation puts the density of states at the Fermi level at 1.24 states/eV per atom. As for the space-group type: Pm.

Lattice parameters (Å, degrees): 2.6895 3.5805 11.0522 90.00 91.57 90.00
Last column: nearest neighbours and their distance in Å.
Fractional positions:
Ni 0.9219 0.0000 0.5244  6 V 2.36-2.57, 1 Ni 2.58
Ni 0.8871 0.0000 0.7576  4 V 2.51-2.53, 3 Ni 2.58-2.69
V 0.4573 0.5000 0.4395  4 Ni 2.36-2.50, 1 V 2.38
V 0.3677 0.5000 0.6536  1 V 2.38, 6 Ni 2.51-2.57
Na 0.4077 0.5000 0.9410  2 Na 2.69
Na 0.9337 0.0000 0.2206  2 Na 2.69

---

## NaNi2W (PBE)

Data for an optimized crystal structure of NaNi2W.

Properties
The value obtained for the energy above the most stable polymorph in this dataset is 0.00 eV/f.u. The total magnetization comes out at 0.0 μB/f.u. Its formation energy is 0.6636 eV/atom. The calculation puts the density of states at the Fermi level at 1.51 states/eV per atom. As for the space-group type: Fm-3m.

Lattice parameters (Å, degrees): 4.2872 4.2872 4.2872 60.00 60.00 60.00
Last column: nearest neighbours and their distance in Å.
Fractional positions:
W 0.5000 0.5000 0.5000  8 Ni 2.63
Ni 0.7500 0.7500 0.7500  4 Na 2.63, 4 W 2.63
Ni 0.2500 0.2500 0.2500  4 W 2.63, 4 Na 2.63
Na 0.0000 0.0000 0.0000  8 Ni 2.63

---

## NaNi2W (PBE)

Data for an optimized crystal structure of NaNi2W.

Properties
The value obtained for the energy above the most stable polymorph in this dataset is 1.44 eV/f.u. The total magnetization comes out at 1.0 μB/f.u. Its formation energy is 1.0245 eV/atom. The calculation puts the density of states at the Fermi level at 0.83 states/eV per atom. As for the space-group type: I-42d.

Lattice parameters (Å, degrees): 6.8144 6.8144 5.5849 52.40 52.40 90.00
Last column: nearest neighbours and their distance in Å.
Fractional positions:
Ni 0.3750 0.3399 0.7500  2 W 2.35
Ni 0.0899 0.6250 0.2500  2 W 2.35
Ni 0.6601 0.1250 0.2500  2 W 2.35
Ni 0.8750 0.9101 0.7500  2 W 2.35
W 0.0000 0.0000 0.0000  4 Ni 2.35
W 0.7500 0.2500 0.5000  4 Ni 2.35
Na 0.2500 0.7500 0.5000  4 Ni 2.68, 2 W 2.82
Na 0.5000 0.5000 0.0000  4 Ni 2.68, 2 W 2.82

---

## Na3NiW (PBE)

Data for an optimized crystal structure of Na3NiW.

Properties
The value obtained for the energy above the most stable polymorph in this dataset is 0.00 eV/f.u. The total magnetization comes out at 5.0 μB/f.u. Its formation energy is 1.6595 eV/atom. The calculation puts the density of states at the Fermi level at 0.19 states/eV per atom. As for the space-group type: Pm-3m.

Lattice parameters (Å, degrees): 5.2067 5.2067 5.2067 90.00 90.00 90.00
Last column: nearest neighbours and their distance in Å.
Fractional positions:
Na 0.0000 0.0000 0.5000  2 Ni 2.60
Na 0.0000 0.5000 0.0000  2 Ni 2.60
Na 0.5000 0.0000 0.0000  2 Ni 2.60
Ni 0.0000 0.0000 0.0000  6 Na 2.60
W 0.5000 0.5000 0.5000  12 Na 3.68

---

## NaNi3W (PBE)

Data for an optimized crystal structure of NaNi3W.

Properties
The value obtained for the energy above the most stable polymorph in this dataset is 0.00 eV/f.u. The total magnetization comes out at 0.0 μB/f.u. Its formation energy is 1.1111 eV/atom. The calculation puts the density of states at the Fermi level at 1.13 states/eV per atom. As for the space-group type: Pm-3m.

Lattice parameters (Å, degrees): 4.5998 4.5998 4.5998 90.00 90.00 90.00
Last column: nearest neighbours and their distance in Å.
Fractional positions:
Na 0.5000 0.5000 0.5000  12 Ni 3.25
Ni 0.0000 0.0000 0.5000  2 W 2.30
Ni 0.5000 0.0000 0.0000  2 W 2.30
Ni 0.0000 0.5000 0.0000  2 W 2.30
W 0.0000 0.0000 0.0000  6 Ni 2.30